The following is a DFT calculation (PBE) of crystalline Cu2SiAu at its relaxed geometry.

The structure in extended XYZ format:
```
4
Lattice="8.4313 -0.0217 -0.0127 7.9612 2.7761 -0.0127 7.9612 1.3377 2.4326" Properties=species:S:1:pos:R:3 pbc="T T T"
Au 18.2620 3.0686 1.8050
Cu 24.2109 4.0682 2.3930
Cu 6.0657 1.0192 0.5995
Si 12.3460 2.0745 1.2203
```

Output
E_form (uncorrected)	0.487	eV per formula unit
magnetic moment	0.0	μB/cell

***

The following is a DFT calculation (PBE) of crystalline LaAsSeBr2 at its relaxed geometry.

The structure in extended XYZ format:
```
5
Lattice="5.7833 0.0000 0.0000 0.0000 5.7833 0.0000 0.0000 0.0000 5.9781" Properties=species:S:1:pos:R:3 pbc="T T T"
As 2.8916 2.8916 2.9891
Se 0.0000 0.0000 2.9891
Br 0.0000 2.8916 0.0000
Br 2.8916 0.0000 0.0000
La 0.0000 0.0000 0.0000
```

Output
energy above the lowest structure with this stoichiometry	0	meV/atom
E_form (uncorrected)	-3.053	eV per formula unit
magnetic moment	2.0	μB/cell

***

The following is a DFT calculation (PBE) of crystalline TiMnP2Cl at its relaxed geometry.

The structure in extended XYZ format:
```
5
Lattice="-4.3504 -0.7055 0.6080 0.2337 -3.6387 -2.5494 0.9571 -2.6125 3.8165" Properties=species:S:1:pos:R:3 pbc="T T T"
Cl 0.4785 -1.3063 1.9083
Mn 0.0000 0.0000 0.0000
P 0.1169 -1.8193 -1.2747
P -2.1752 -0.3527 0.3040
Ti -1.5798 -3.4783 0.9376
```

Output
energy above the lowest structure with this stoichiometry	138	meV/atom
E_form (uncorrected)	1.179	eV per formula unit
magnetic moment	4.3	μB/cell

***

The following is a DFT calculation (PBE) of crystalline Sm3Ga4Ge4 at its relaxed geometry.

The structure in extended XYZ format:
```
11
Lattice="-3.3589 -1.9570 -1.8036 2.5517 -1.8131 -2.7738 2.6242 -11.4787 6.7266" Properties=species:S:1:pos:R:3 pbc="T T T"
Sm 3.4680 -9.4588 3.0461
Sm -1.6505 -5.7905 -0.8976
Sm -3.3585 -1.9573 -1.8039
Ga 0.9589 -10.3629 4.4769
Ga 1.3481 -6.5778 2.3692
Ga 0.4662 -8.6694 -0.2178
Ga 0.8588 -4.8864 -2.3286
Ge 1.8360 -12.5344 3.5512
Ge -0.0181 -2.7149 -1.4026
Ge 1.6435 -6.4959 -0.5715
Ge 0.1735 -8.7532 2.7201
```

Output
uncorrected energy	-4.59	eV/atom
magnetic moment	0.0	μB/cell

***

The following is a DFT calculation (PBE) of crystalline CeMnNbSi2 at its relaxed geometry.

The structure in extended XYZ format:
```
5
Lattice="-1.1044 -3.1689 -2.1835 3.8478 -0.8715 -0.6814 -1.2820 -1.1844 6.0379" Properties=species:S:1:pos:R:3 pbc="T T T"
Ce 0.0000 0.0000 0.0000
Mn -0.5073 -3.1867 1.2110
Nb 1.9688 -2.0380 1.9620
Si 1.3911 -2.7149 -0.4341
Si 0.0703 -2.5099 3.6071
```

Output
E_form (uncorrected)	-2.678	eV per formula unit
magnetic moment	2.1	μB/cell

***

The following is a DFT calculation (PBE) of crystalline TbNd2Au6 at its relaxed geometry.

The structure in extended XYZ format:
```
9
Lattice="-0.4591 2.3162 -4.9917 -0.7067 -6.0663 -2.7499 -5.3946 3.3884 2.0684" Properties=species:S:1:pos:R:3 pbc="T T T"
Tb -0.2295 1.1581 -2.4958
Nd -2.4230 -2.1394 -2.8147
Nd -4.1374 1.7777 -2.8585
Au -4.3029 -0.9029 -5.0592
Au -1.9728 -2.3664 -5.9526
Au -4.8927 -0.6154 -0.9082
Au -1.6676 0.2537 -4.7649
Au -4.5875 2.0047 0.2795
Au -2.2575 0.5412 -0.6139
```

Output
uncorrected energy	-4.39	eV/atom
magnetic moment	0.0	μB/cell

***

The following is a DFT calculation (PBE) of crystalline Na5Cd6Sn at its relaxed geometry.

The structure in extended XYZ format:
```
12
Lattice="-1.6094 -0.7025 -4.4612 -7.5996 -4.3573 3.4276 1.3311 8.4257 0.7517" Properties=species:S:1:pos:R:3 pbc="T T T"
Na -1.8804 1.5892 -2.1478
Na -2.1967 3.9494 0.1540
Na -3.7998 -2.1787 1.7138
Na -5.6812 -0.5835 -0.4358
Na -5.9975 1.7767 1.8659
Sn 0.0000 0.0000 0.0000
Cd -4.9078 2.5194 -1.2317
Cd -1.1111 4.6940 -2.9437
Cd -6.5266 -3.6290 0.3503
Cd -1.3514 6.9949 -0.6321
Cd -6.7668 -1.3281 2.6619
Cd -2.9701 0.8465 0.9498
```

Output
uncorrected energy	-1.42	eV/atom
magnetic moment	0.0	μB/cell

***

The following is a DFT calculation (PBE) of crystalline Ca2TlBrN at its relaxed geometry.

The structure in extended XYZ format:
```
5
Lattice="-4.7124 -2.9324 0.5439 0.0348 -0.8416 -4.2359 2.9821 -4.6175 0.9419" Properties=species:S:1:pos:R:3 pbc="T T T"
Tl -0.8477 -4.1957 -1.3750
Ca 1.4910 -2.3087 0.4710
Ca -2.3562 -1.4662 0.2719
Br 0.0000 0.0000 0.0000
N 0.0174 -0.4208 -2.1179
```

Output
E_form (uncorrected)	1.434	eV per formula unit
magnetic moment	0.0	μB/cell

***

The following is a DFT calculation (PBE) of crystalline Lu3Pb at its relaxed geometry.

The structure in extended XYZ format:
```
4
Lattice="4.5991 0.0000 0.0000 0.0000 4.5991 0.0000 -2.2995 -2.2995 5.2189" Properties=species:S:1:pos:R:3 pbc="T T T"
Pb 0.0000 0.0000 0.0000
Lu 2.2995 0.0000 2.6095
Lu 0.0000 2.2995 2.6095
Lu 2.2995 2.2995 0.0000
```

Output
uncorrected energy	-4.55	eV/atom
magnetic moment	0.0	μB/cell

***

The following is a DFT calculation (PBE) of crystalline InAgGe at its relaxed geometry.

The structure in extended XYZ format:
```
6
Lattice="3.3067 0.0000 0.0006 -0.0003 6.1365 0.0615 0.0008 -0.2187 6.3942" Properties=species:S:1:pos:R:3 pbc="T T T"
Ge 0.8647 1.6234 0.2895
Ge 2.5178 3.9178 0.5783
Ag 0.8630 5.4075 2.2252
Ag 2.5166 1.6508 2.4813
In 0.8631 3.1919 4.2931
In 2.5179 5.9413 4.7926
```

Output
uncorrected energy	-3.23	eV/atom
magnetic moment	0.0	μB/cell

***

The following is a DFT calculation (PBE) of crystalline La2MnTe at its relaxed geometry.

The structure in extended XYZ format:
```
4
Lattice="6.3754 -0.3538 -0.0793 3.5019 5.3392 0.0793 -4.5784 -3.2064 3.0877" Properties=species:S:1:pos:R:3 pbc="T T T"
La 0.0116 0.0058 0.0000
La 3.1826 -0.6272 1.5042
Mn 4.6966 2.3705 0.0000
Te 2.3468 2.5226 1.5835
```

Output
E_form (uncorrected)	-1.698	eV per formula unit
magnetic moment	2.9	μB/cell

***

The following is a DFT calculation (PBE) of crystalline ErPu3C at its relaxed geometry.

The structure in extended XYZ format:
```
5
Lattice="4.9253 0.0000 0.0000 0.0000 4.9253 0.0000 0.0000 0.0000 4.9253" Properties=species:S:1:pos:R:3 pbc="T T T"
C 0.0000 0.0000 0.0000
Er 2.4627 2.4627 2.4627
Pu 0.0000 2.4627 0.0000
Pu 0.0000 0.0000 2.4627
Pu 2.4627 0.0000 0.0000
```

Output
uncorrected energy	-11.15	eV/atom
magnetic moment	16.3	μB/cell

***

The following is a DFT calculation (PBE) of crystalline CuTeMo2 at its relaxed geometry.

The structure in extended XYZ format:
```
4
Lattice="-3.0962 -2.3622 -3.2989 -4.1030 -2.0478 2.2408 2.3404 4.5078 -0.5014" Properties=species:S:1:pos:R:3 pbc="T T T"
Cu -2.6998 0.1160 0.6024
Mo -7.1681 -4.3911 -1.0536
Mo -2.2092 -0.0491 -2.1694
Te -3.5803 -2.1932 -0.5263
```

Output
E_form (uncorrected)	1.725	eV per formula unit
magnetic moment	0.0	μB/cell

***

The following is a DFT calculation (PBE) of crystalline LuNi3 at its relaxed geometry.

The structure in extended XYZ format:
```
4
Lattice="-1.0691 -3.7043 -0.0230 3.5879 -1.0415 0.9528 -2.1498 2.6074 3.1448" Properties=species:S:1:pos:R:3 pbc="T T T"
Ni -0.9798 -1.7349 1.7933
Ni 1.3487 -0.4035 2.2812
Ni 1.2594 -2.3729 0.4649
Lu 0.0000 0.0000 0.0000
```

Output
uncorrected energy	-5.72	eV/atom
magnetic moment	0.5	μB/cell

***

The following is a DFT calculation (PBE) of crystalline Li2CaMgHg2 at its relaxed geometry.

The structure in extended XYZ format:
```
6
Lattice="-1.5511 2.3033 3.8354 3.5809 -3.0758 0.3723 4.4857 5.0731 -1.2326" Properties=species:S:1:pos:R:3 pbc="T T T"
Li 4.9767 2.2306 0.6731
Li 1.5388 2.0701 2.3021
Ca 0.0000 0.0000 0.0000
Mg 2.2428 2.5366 -0.6163
Hg 3.1097 0.1190 1.1861
Hg 3.4058 4.1817 1.7891
```

Output
uncorrected energy	-1.69	eV/atom
magnetic moment	0.0	μB/cell

***

The following is a DFT calculation (PBE) of crystalline TmHg2Bi at its relaxed geometry.

The structure in extended XYZ format:
```
4
Lattice="-3.6277 -3.2789 1.2445 -0.4254 -1.1765 -4.3396 3.1102 -3.2249 0.5695" Properties=species:S:1:pos:R:3 pbc="T T T"
Tm -1.8139 -1.6394 0.6223
Bi -0.4715 -3.8402 -1.2628
Hg 1.5551 -1.6125 0.2847
Hg -0.2127 -0.5883 -2.1698
```

Output
uncorrected energy	-2.59	eV/atom
magnetic moment	0.0	μB/cell

***

The following is a DFT calculation (PBE) of crystalline Na2DyCdPb2 at its relaxed geometry.

The structure in extended XYZ format:
```
12
Lattice="-2.3318 0.7996 -4.2128 4.4804 -4.8987 -3.4096 -6.0136 -6.9047 2.0179" Properties=species:S:1:pos:R:3 pbc="T T T"
Na -1.3135 -0.1806 -2.1349
Na 0.4842 -2.7972 -0.7989
Na -4.4250 -8.7747 -2.0439
Na -1.2658 -9.8279 -1.1648
Dy 1.6000 -8.0857 -2.4203
Dy -1.0003 -6.0497 -0.5946
Cd -4.6297 -5.0981 -1.2328
Cd -0.1185 -4.9399 -3.6997
Pb -3.7423 -7.1112 0.7216
Pb -2.3162 -3.4427 -2.1990
Pb 2.4800 -4.9884 -2.3195
Pb -1.5389 -7.5717 -3.4130
```

Output
uncorrected energy	-2.84	eV/atom
magnetic moment	0.0	μB/cell

***

The following is a DFT calculation (PBE) of crystalline Na12LiCd2 at its relaxed geometry.

The structure in extended XYZ format:
```
30
Lattice="-2.3637 2.2248 -5.8232 4.2801 -3.9486 -3.2459 -17.0195 -18.3609 -0.1064" Properties=species:S:1:pos:R:3 pbc="T T T"
Na -12.6916 -15.5876 -4.6199
Na -13.6498 -14.7256 -0.0854
Na -14.0074 -17.9537 -6.8987
Na -12.8248 -19.0668 -3.9876
Na -5.5434 -5.9804 -0.0347
Na 1.0436 -4.1046 -3.8993
Na -10.1886 -9.8156 -5.8696
Na -4.5852 -6.8423 -4.5692
Na -14.9644 -17.0929 -2.3636
Na -0.1374 -2.9929 -6.8115
Na -9.6019 -10.3790 -2.5066
Na -8.2364 -7.1823 -4.5946
Na -11.4760 -12.3805 -0.0718
Na -6.4593 -8.8438 -2.1344
Na -1.0968 -2.1299 -2.2774
Na -6.4250 -8.8473 -7.0273
Na -7.7199 -12.0993 -6.6828
Na -3.3696 -3.6352 -0.0211
Na -7.1332 -12.6626 -3.3199
Na -10.5178 -13.2424 -4.6063
Na -16.1471 -15.9798 -5.2747
Na -2.4114 -4.4971 -4.5557
Na -4.6480 -10.5087 -4.5671
Na -2.2779 -1.0182 -5.1896
Li -1.1819 1.1124 -2.9116
Li 2.1401 -1.9743 -1.6230
Cd -4.4966 -2.4636 -2.9323
Cd -1.1747 -5.5503 -1.6437
Cd -11.5646 -16.7592 -1.7087
Cd -14.8866 -13.6725 -2.9973
```

Output
uncorrected energy	-1.19	eV/atom
magnetic moment	0.0	μB/cell

***

The following is a DFT calculation (PBE) of crystalline Na3TbTe3S8 at its relaxed geometry.

The structure in extended XYZ format:
```
15
Lattice="-7.6830 -0.9569 -0.3087 4.7453 -5.3818 -4.1726 -0.2704 -0.4249 8.0454" Properties=species:S:1:pos:R:3 pbc="T T T"
Na 0.0000 0.0000 0.0000
Na 2.3726 -2.6909 -2.0863
Na -1.4689 -3.1694 -2.2407
Tb -0.1352 -0.2124 4.0227
Te -3.9767 -0.6909 3.8683
Te -1.6040 -3.3818 1.7820
Te 2.2375 -2.9033 1.9364
S 0.3385 -2.7430 0.0795
S -3.5465 -4.0206 3.4845
S -3.4327 -3.7424 -0.2092
S 0.2247 -3.0212 3.7732
S -5.7267 -1.1197 1.9254
S 2.5187 -5.6439 1.6386
S -2.0270 -0.6589 2.0741
S -1.1810 -6.1047 1.4899
```

Output
E_form (uncorrected)	-9.423	eV per formula unit
magnetic moment	0.0	μB/cell

***

The following is a DFT calculation (PBE) of crystalline HoEr2In at its relaxed geometry.

The structure in extended XYZ format:
```
4
Lattice="-3.8062 -0.4900 2.8970 2.8789 -1.5653 3.5176 0.5847 4.5190 1.5325" Properties=species:S:1:pos:R:3 pbc="T T T"
In -1.9031 -0.2450 1.4485
Ho -0.1713 1.2319 3.9736
Er 0.2923 2.2595 0.7662
Er 1.4394 -0.7827 1.7588
```

Output
energy above the lowest structure with this stoichiometry	0	meV/atom
magnetic moment	0.0	μB/cell

***

The following is a DFT calculation (PBE) of crystalline CaTl3C at its relaxed geometry.

The structure in extended XYZ format:
```
5
Lattice="-3.5867 0.8236 -3.5430 -2.7664 -3.8485 1.9058 -2.3619 3.2568 3.1481" Properties=species:S:1:pos:R:3 pbc="T T T"
C 0.0000 0.0000 0.0000
Tl -1.3832 -1.9242 0.9529
Tl -1.1810 1.6284 1.5741
Tl -1.7933 0.4118 -1.7715
Ca -4.3575 0.1160 0.7555
```

Output
energy above the lowest structure with this stoichiometry	0	meV/atom
magnetic moment	0.0	μB/cell

***

The following is a DFT calculation (PBE) of crystalline SrLuCuAu at its relaxed geometry.

The structure in extended XYZ format:
```
4
Lattice="5.1249 0.0000 0.0000 2.5624 4.4383 0.0000 2.5624 1.4794 4.1844" Properties=species:S:1:pos:R:3 pbc="T T T"
Sr 0.0000 0.0000 0.0000
Lu 5.1249 2.9588 2.0922
Au 7.6873 4.4383 3.1383
Cu 2.5624 1.4794 1.0461
```

Output
uncorrected energy	-3.75	eV/atom
magnetic moment	0.0	μB/cell

***

The following is a DFT calculation (PBE) of crystalline Re2PRh at its relaxed geometry.

The structure in extended XYZ format:
```
4
Lattice="2.9039 0.0000 0.0000 0.0000 4.4122 0.0000 0.0000 0.0000 4.5164" Properties=species:S:1:pos:R:3 pbc="T T T"
Re 0.0000 0.0000 0.0000
Re 1.4520 2.2061 0.0000
P 0.0000 2.2061 2.2582
Rh 1.4520 0.0000 2.2582
```

Output
uncorrected energy	-9.10	eV/atom
magnetic moment	0.0	μB/cell

***

The following is a DFT calculation (PBE) of crystalline NaGa10Rh3 at its relaxed geometry.

The structure in extended XYZ format:
```
28
Lattice="7.8839 0.0000 4.5518 2.6280 7.4330 4.5518 0.0000 0.0000 9.1035" Properties=species:S:1:pos:R:3 pbc="T T T"
Na 2.6280 1.8583 4.5518
Na 7.8839 5.5748 13.6553
Ga 0.0000 0.0000 3.1772
Ga 0.9172 2.5941 1.5886
Ga 2.7515 0.0000 1.5886
Ga 6.0496 2.5941 4.5518
Ga 4.0975 2.8974 7.0971
Ga 2.9391 4.5356 9.1036
Ga 5.2559 6.1739 9.1035
Ga 5.1324 0.0000 6.1404
Ga 4.0975 2.8974 11.1100
Ga 7.5728 2.8974 9.1035
Ga 6.4143 4.5356 7.0971
Ga 0.0000 0.0000 5.9264
Ga 4.4623 4.8389 4.5518
Ga 1.7108 4.8389 6.1404
Ga 0.9172 2.5941 7.5150
Ga 5.1324 0.0000 2.9632
Ga 6.4143 4.5356 11.1100
Ga 1.7108 4.8389 2.9632
Ga 5.2559 1.2591 9.1036
Ga 2.7515 0.0000 7.5150
Rh 7.7496 5.4798 9.1035
Rh 6.5028 1.9532 11.2631
Rh 4.0091 5.4798 11.2631
Rh 2.7623 1.9532 9.1035
Rh 6.5028 1.9532 6.9440
Rh 4.0091 5.4798 6.9440
```

Output
uncorrected energy	-4.08	eV/atom
magnetic moment	0.0	μB/cell